DFT (PBE-GGA) results for Mg3Cd3Sn2 after structural relaxation.

Cell: 5.7852 5.7852 5.7852 Å, 84.66 84.66 84.66°
Element x y z (fractional)
Mg: 0.0000 0.7492 0.2508
Mg: 0.2508 0.0000 0.7492
Mg: 0.7492 0.2508 0.0000
Cd: 0.2629 0.5000 0.7371
Cd: 0.5000 0.7371 0.2629
Cd: 0.7371 0.2629 0.5000
Sn: 0.2403 0.2403 0.2403
Sn: 0.7597 0.7597 0.7597

Results
Density of states at the Fermi level ... 3.23 states/eV per cell
Uncorrected energy ... -1.98 eV per atom
Crystal system ... trigonal
E_form ... -0.041 eV per atom